Ce2OsCl after structural relaxation. Source: Alexandria via LeMat-Bulk, functional PBE.

## Properties
ΔE_f (raw): -0.82 eV/atom
Space-group type: R3m
D(E_F): 9.60 states/eV/cell
Energy above the most stable polymorph in this dataset: 36 meV per atom

Cell lengths 7.9443, 7.9443, 7.9443 Å; angles 29.18, 29.18, 29.18 degrees
Element x y z (fractional)
1 Ce 0.0000 0.0000 0.0000
2 Ce 0.1992 0.1992 0.1992
3 Os 0.6005 0.6005 0.6005
4 Cl 0.4294 0.4294 0.4294

CeOsCl after structural relaxation. Source: Alexandria via LeMat-Bulk, functional PBE.

## Properties
ΔE_f (raw): -0.77 eV/atom
Space-group type: P-1
D(E_F): 8.71 states/eV/cell
Energy above the most stable polymorph in this dataset: 274 meV per atom

Cell lengths 3.2478, 3.2634, 12.4887 Å; angles 89.84, 89.95, 89.85 degrees
Element x y z (fractional)
1 Ce 0.2492 0.2473 0.2211
2 Ce 0.7508 0.7527 0.7789
3 Os 0.2502 0.2505 0.9479
4 Os 0.7498 0.7495 0.0521
5 Cl 0.2514 0.2542 0.6362
6 Cl 0.7486 0.7458 0.3638

Ce2OsCl after structural relaxation. Source: Alexandria via LeMat-Bulk, functional PBE.

## Properties
ΔE_f (raw): -0.85 eV/atom
Space-group type: R-3m
D(E_F): 9.16 states/eV/cell
Energy above the most stable polymorph in this dataset: 0 meV per atom

Cell lengths 7.7283, 7.7283, 7.7283 Å; angles 30.27, 30.27, 30.27 degrees
Element x y z (fractional)
1 Ce 0.2350 0.2350 0.2350
2 Ce 0.7650 0.7650 0.7650
3 Os 0.5000 0.5000 0.5000
4 Cl 0.0000 0.0000 0.0000

Ce3OsCl3 after structural relaxation. Source: Alexandria via LeMat-Bulk, functional PBE.

## Properties
ΔE_f (raw): -1.36 eV/atom
Space-group type: P2_1/m
D(E_F): 34.28 states/eV/cell

Cell lengths 8.5903, 4.0905, 11.6404 Å; angles 90.00, 94.02, 90.00 degrees
Element x y z (fractional)
1 Ce 0.1029 0.2500 0.3828
2 Ce 0.1345 0.2500 0.8580
3 Ce 0.3413 0.7500 0.6286
4 Ce 0.6587 0.2500 0.3714
5 Ce 0.8655 0.7500 0.1420
6 Ce 0.8971 0.7500 0.6172
7 Os 0.1235 0.2500 0.6268
8 Os 0.8765 0.7500 0.3732
9 Cl 0.1086 0.2500 0.1172
10 Cl 0.3702 0.7500 0.8789
11 Cl 0.3860 0.7500 0.3749
12 Cl 0.6140 0.2500 0.6251
13 Cl 0.6298 0.2500 0.1211
14 Cl 0.8914 0.7500 0.8828

Ce4OsCl5 after structural relaxation. Source: Alexandria via LeMat-Bulk, functional PBE.

## Properties
ΔE_f (raw): -1.54 eV/atom
Space-group type: C2/m
D(E_F): 23.99 states/eV/cell

Cell lengths 9.1843, 9.1843, 8.5356 Å; angles 105.15, 105.15, 25.38 degrees
Element x y z (fractional)
1 Ce 0.0020 0.0020 0.2298
2 Ce 0.3418 0.3418 0.9129
3 Ce 0.6582 0.6582 0.0871
4 Ce 0.9980 0.9980 0.7702
5 Os 0.5000 0.5000 0.0000
6 Cl 0.1684 0.1684 0.8420
7 Cl 0.1695 0.1695 0.3322
8 Cl 0.5000 0.5000 0.5000
9 Cl 0.8305 0.8305 0.6678
10 Cl 0.8316 0.8316 0.1580

Ce5OsCl5 after structural relaxation. Source: Alexandria via LeMat-Bulk, functional PBE.

## Properties
ΔE_f (raw): -1.35 eV/atom
Space-group type: C2/m
D(E_F): 28.41 states/eV/cell

Cell lengths 6.9731, 6.9731, 8.2656 Å; angles 107.95, 107.95, 48.59 degrees
Element x y z (fractional)
1 Ce 0.0000 0.0000 0.0000
2 Ce 0.3267 0.3267 0.1499
3 Ce 0.3442 0.3442 0.6909
4 Ce 0.6558 0.6558 0.3091
5 Ce 0.6733 0.6733 0.8501
6 Os 0.5000 0.5000 0.0000
7 Cl 0.1536 0.1536 0.8039
8 Cl 0.1618 0.1618 0.3508
9 Cl 0.5000 0.5000 0.5000
10 Cl 0.8382 0.8382 0.6492
11 Cl 0.8464 0.8464 0.1961

Ce2OsCl after structural relaxation. Source: Alexandria via LeMat-Bulk, functional PBE.

## Properties
ΔE_f (raw): -0.80 eV/atom
Space-group type: P4/mmm
D(E_F): 8.06 states/eV/cell
Energy above the most stable polymorph in this dataset: 55 meV per atom

Cell lengths 3.2976, 3.2976, 8.0956 Å; angles 90.00, 90.00, 90.00 degrees
Element x y z (fractional)
1 Ce 0.0000 0.0000 0.2263
2 Ce 0.0000 0.0000 0.7737
3 Os 0.5000 0.5000 0.0000
4 Cl 0.5000 0.5000 0.5000

Ce3Os2Cl2 after structural relaxation. Source: Alexandria via LeMat-Bulk, functional PBE.

## Properties
ΔE_f (raw): -0.70 eV/atom
Space-group type: C2/m
D(E_F): 11.54 states/eV/cell

Cell lengths 6.5816, 6.5816, 7.3228 Å; angles 99.51, 99.51, 38.73 degrees
Element x y z (fractional)
1 Ce 0.0000 0.0000 0.0000
2 Ce 0.2471 0.2471 0.7867
3 Ce 0.7529 0.7529 0.2133
4 Os 0.3945 0.3945 0.0763
5 Os 0.6055 0.6055 0.9237
6 Cl 0.1369 0.1369 0.3827
7 Cl 0.8631 0.8631 0.6173

CeOsCl after structural relaxation. Source: Alexandria via LeMat-Bulk, functional PBE.

## Properties
ΔE_f (raw): -1.04 eV/atom
Space-group type: C2/m
D(E_F): 11.51 states/eV/cell
Energy above the most stable polymorph in this dataset: 0 meV per atom

Cell lengths 4.1927, 4.1927, 10.8358 Å; angles 91.78, 91.78, 60.04 degrees
Element x y z (fractional)
1 Ce 0.0103 0.0103 0.1892
2 Ce 0.9897 0.9897 0.8108
3 Os 0.3344 0.3344 0.0214
4 Os 0.6656 0.6656 0.9786
5 Cl 0.3150 0.3150 0.6566
6 Cl 0.6850 0.6850 0.3434

Ce4Os2Cl3 after structural relaxation. Source: Alexandria via LeMat-Bulk, functional PBE.

## Properties
ΔE_f (raw): -1.06 eV/atom
Space-group type: C2/m
D(E_F): 16.99 states/eV/cell

Cell lengths 4.0252, 4.0252, 17.4750 Å; angles 90.04, 90.04, 60.00 degrees
Element x y z (fractional)
1 Ce 0.0006 0.0006 0.3031
2 Ce 0.3336 0.3336 0.1254
3 Ce 0.6664 0.6664 0.8746
4 Ce 0.9994 0.9994 0.6969
5 Os 0.3329 0.3329 0.7899
6 Os 0.6671 0.6671 0.2101
7 Cl 0.0000 0.0000 0.0000
8 Cl 0.3341 0.3341 0.4039
9 Cl 0.6659 0.6659 0.5961

Ce4POsCl2 after structural relaxation. Source: Alexandria via LeMat-Bulk, functional PBE.

## Properties
ΔE_f (raw): -1.17 eV/atom
Space-group type: P2/m
D(E_F): 20.82 states/eV/cell

Cell lengths 7.1913, 4.0304, 7.2009 Å; angles 90.00, 108.11, 90.00 degrees
Element x y z (fractional)
1 Ce 0.2220 0.0000 0.2343
2 Ce 0.2252 0.5000 0.7493
3 Ce 0.7748 0.5000 0.2507
4 Ce 0.7780 0.0000 0.7657
5 P 0.0000 0.0000 0.5000
6 Os 0.0000 0.5000 0.0000
7 Cl 0.5000 0.0000 0.0000
8 Cl 0.5000 0.5000 0.5000

Ce6POs2Cl3 after structural relaxation. Source: Alexandria via LeMat-Bulk, functional PBE.

## Properties
ΔE_f (raw): -1.05 eV/atom
Space-group type: C2/m
D(E_F): 31.46 states/eV/cell

Cell lengths 7.0711, 7.0711, 7.4314 Å; angles 99.17, 99.17, 119.93 degrees
Element x y z (fractional)
1 Ce 0.0859 0.4281 0.7832
2 Ce 0.2290 0.2290 0.2144
3 Ce 0.4281 0.0859 0.7832
4 Ce 0.5719 0.9141 0.2168
5 Ce 0.7710 0.7710 0.7856
6 Ce 0.9141 0.5719 0.2168
7 P 0.5000 0.5000 0.0000
8 Os 0.1670 0.8330 0.0000
9 Os 0.8330 0.1670 0.0000
10 Cl 0.0000 0.0000 0.5000
11 Cl 0.3378 0.6622 0.5000
12 Cl 0.6622 0.3378 0.5000